Here is crystalline MnHRu2Rh at its relaxed geometry from the Alexandria database. Energies are from PBE.

Summary:
Density of states at the Fermi level ... 4.32 states/eV/cell
Crystal system ... tetragonal
ΔE to the lowest computed polymorph ... 0.0000 eV/atom

Cell: 3.8480 3.8480 3.8709 Å, 90.00 90.00 90.00°
With the nearest neighbours (Å) after each atom.
Space group P4/mmm (No. 123)
Inequivalent atoms, fractional coordinates:
1 Mn 0.0000 0.0000 0.0000 x1  4 Rh 2.72, 8 Ru 2.73
2 H 0.5000 0.5000 0.5000 x1  4 Ru 1.92, 2 Rh 1.94
3 Ru 0.0000 0.5000 0.5000 x2  2 H 1.92
4 Rh 0.5000 0.5000 0.0000 x1  2 H 1.94